Computed, not measured: a relaxed GePtS2N crystal at the PBE-GGA level of DFT.

a b c (Å): 4.8353 4.8353 3.4652
angles (deg): 90.00 90.00 90.00
With the nearest neighbours (Å) after each atom.
Sites, in units of the cell vectors:
Pt 0.5000 0.5000 0.5000  8 S 2.97
S 0.0000 0.5000 0.0000  2 Ge 2.42
S 0.5000 0.0000 0.0000  2 Ge 2.42
N 0.0000 0.0000 0.5000  2 Ge 1.73
Ge 0.0000 0.0000 0.0000  2 N 1.73

Properties
formation energy (no corrections)	1047	meV/atom
offset from the most stable computed form	443	meV/atom
space group	P4/mmm (123)

---

Computed, not measured: a relaxed Ta2AsOs crystal at the PBE-GGA level of DFT.

a b c (Å): 3.1397 4.0309 5.3271
angles (deg): 90.00 90.00 90.00
With the nearest neighbours (Å) after each atom.
Sites, in units of the cell vectors:
Ta 0.0000 0.0000 0.9780  2 As 2.62-2.71, 4 Os 2.79
Ta 0.5000 0.5000 0.2689  2 Os 2.65-2.68, 4 As 2.81
As 0.0000 0.0000 0.4864  6 Ta 2.62-2.81
Os 0.5000 0.5000 0.7667  6 Ta 2.65-2.79, 4 As 2.96

Properties
E_form	-0.050	eV per formula unit
space group	Pmm2 (25)

---

Computed, not measured: a relaxed TbDy3Zn4 crystal at the PBE-GGA level of DFT.

a b c (Å): 5.0340 7.1912 10.0686
angles (deg): 90.00 90.00 90.00
With the nearest neighbours (Å) after each atom.
Sites, in units of the cell vectors:
Zn 0.5000 0.7514 0.5000  6 Dy 3.09-3.10, 2 Tb 3.10
Dy 0.5004 0.5000 0.7500  8 Zn 3.10
Zn 0.5000 0.7514 0.0000  6 Dy 3.09-3.10, 2 Tb 3.10
Dy 0.0000 0.0000 0.0000  8 Zn 3.09
Tb 0.0000 0.5000 0.5000  8 Zn 3.10
Dy 0.0000 0.0000 0.5000  8 Zn 3.09
Dy 0.4996 0.5000 0.2500  8 Zn 3.10
Dy 0.4996 0.0000 0.2500  8 Zn 3.09
Zn 0.5000 0.2486 0.5000  6 Dy 3.09-3.10, 2 Tb 3.10
Zn 0.0004 0.7514 0.7500  6 Dy 3.09-3.10, 2 Tb 3.10
Zn 0.9996 0.7514 0.2500  6 Dy 3.09-3.10, 2 Tb 3.10
Zn 0.9996 0.2486 0.2500  6 Dy 3.09-3.10, 2 Tb 3.10
Tb 0.0000 0.5000 0.0000  8 Zn 3.10
Zn 0.5000 0.2486 0.0000  6 Dy 3.09-3.10, 2 Tb 3.10
Dy 0.5004 0.0000 0.7500  8 Zn 3.09
Zn 0.0004 0.2486 0.7500  6 Dy 3.09-3.10, 2 Tb 3.10

Properties
E_form	-2.723	eV per formula unit
space group	P4/mmm (123)

---

Computed, not measured: a relaxed CaLaCrRe2 crystal at the PBE-GGA level of DFT.

a b c (Å): 4.9027 4.8772 4.9027
angles (deg): 90.00 90.00 90.00
With the nearest neighbours (Å) after each atom.
Sites, in units of the cell vectors:
Re 0.5000 0.0000 0.0000  2 Ca 2.45
Ca 0.0000 0.0000 0.0000  2 Cr 2.44, 4 Re 2.45
Cr 0.0000 0.5000 0.0000  2 Ca 2.44
Re 0.0000 0.0000 0.5000  2 Ca 2.45
La 0.5000 0.5000 0.5000  8 Re 3.46, 4 Cr 3.47

Properties
E_form	10.426	eV per formula unit
space group	P4/mmm (123)